The following is a GGA-PBE calculation of crystalline Sc5As2H at its relaxed geometry, from Alexandria.

abc: 5.210 8.601 13.166
angles: 90.00 90.00 90.00
Space group Fmmm (No. 69)
Unique sites:
Sc 0.000 0.000 0.000 (multiplicity 4)
Sc 0.000 0.171 0.370 (multiplicity 16)
As 0.000 0.000 0.191 (multiplicity 8)
H 0.000 0.000 0.500 (multiplicity 4)

DFT total energy: -6.137 eV per atom
crystal system: orthorhombic